## Na3In (PBE)

Data for a relaxed Na3In crystal.

Its crystal system is cubic. The calculation puts the formation energy at -0.048 eV per atom. The density of states at the Fermi level is 2.7 states/eV/cell.

Cell and atoms, written as POSCAR:
```
Na3In
1.0
-2.317 -4.203 2.768
2.593 -2.202 4.373
-1.999 0.811 5.104
Na In
3 1
Direct
0.000 0.000 0.000
0.500 0.500 0.500
0.250 0.250 0.250
0.750 0.750 0.750
```

=====

## Na5In4 (PBE)

Data for a relaxed Na5In4 crystal.

Its crystal system is tetragonal. The calculation puts the formation energy at -0.103 eV per atom. The density of states at the Fermi level is 3.2 states/eV/cell.

Cell and atoms, written as POSCAR:
```
Na5In4
1.0
4.387 0.000 0.000
2.193 7.559 0.000
2.193 0.000 7.559
In Na
4 5
Direct
0.000 0.344 0.656
0.656 0.344 0.344
0.344 0.656 0.656
0.000 0.656 0.344
0.672 0.657 0.000
0.000 0.000 0.000
0.328 0.343 0.000
0.672 0.000 0.657
0.328 0.000 0.343
```

=====

## Na2In13 (PBE)

Data for a relaxed Na2In13 crystal.

Its crystal system is trigonal. The calculation puts the formation energy at 0.083 eV per atom. The density of states at the Fermi level is 6.7 states/eV/cell.

Cell and atoms, written as POSCAR:
```
Na2In13
1.0
-8.093 -2.640 -1.166
-5.017 -1.601 6.790
-6.771 5.961 1.840
In Na
13 2
Direct
0.261 0.885 0.593
0.885 0.261 0.593
0.739 0.115 0.407
0.485 0.485 0.175
0.145 0.515 0.825
0.500 0.500 0.500
0.485 0.855 0.175
0.261 0.261 0.593
0.855 0.485 0.175
0.739 0.739 0.407
0.515 0.515 0.825
0.115 0.739 0.407
0.515 0.145 0.825
0.260 0.260 0.221
0.740 0.740 0.779
```